[1]
La2PrZn | PBE-GGA | optimized geometry

Structure (extended XYZ):
```
4
Lattice="1.876 1.083 10.815 -1.876 1.083 10.815 0.000 -2.167 10.815" Properties=species:S:1:pos:R:3 pbc="T T T"
La 0.000 0.000 0.000
La 0.000 0.000 6.189
Pr 0.000 0.000 13.891
Zn 0.000 0.000 19.318
```

Spin magnetization = 0.00 μB/f.u.
Polymorph energy (0 for the lowest one) = 0.48 eV per formula unit
Density = 6.095 g/cm3
Volume = 32.97 Å³ per atom
Final energy = -16.0 eV/cell
Energy of formation = -0.0317 eV/atom

---

[2]
LaPr3Zn4 | PBE-GGA | optimized geometry

Structure (extended XYZ):
```
8
Lattice="5.257 0.000 0.000 0.000 5.257 0.000 0.000 0.000 7.485" Properties=species:S:1:pos:R:3 pbc="T T T"
La 0.000 0.000 0.000
Pr 0.000 0.000 3.742
Pr 2.629 2.629 0.000
Pr 2.629 2.629 3.742
Zn 0.000 2.629 1.890
Zn 0.000 2.629 5.594
Zn 2.629 0.000 1.890
Zn 2.629 0.000 5.594
```

Spin magnetization = 0.00 μB/f.u.
Density = 6.609 g/cm3
Volume = 25.86 Å³ per atom
Final energy = -26.8 eV/cell
Energy of formation = -0.3044 eV/atom

---

[3]
LaPr2Zn2 | PBE-GGA | optimized geometry

Structure (extended XYZ):
```
10
Lattice="4.732 0.000 0.000 0.000 4.497 0.000 -2.294 0.000 13.492" Properties=species:S:1:pos:R:3 pbc="T T T"
La 0.020 1.124 3.633
La 2.417 3.373 9.859
Pr 0.039 3.373 6.355
Pr 0.071 1.124 12.030
Pr 2.366 3.373 1.461
Pr 2.399 1.124 7.137
Zn 0.004 1.124 0.605
Zn 0.035 1.124 8.954
Zn 2.402 3.373 4.538
Zn 2.434 3.373 12.887
```

Spin magnetization = 0.00 μB/f.u.
Polymorph energy (0 for the lowest one) = 0.32 eV per formula unit
Density = 6.380 g/cm3
Volume = 28.71 Å³ per atom
Final energy = -35.8 eV/cell
Energy of formation = -0.1707 eV/atom

---

[4]
La12PrZn6 | PBE-GGA | optimized geometry

Structure (extended XYZ):
```
19
Lattice="5.709 3.296 4.968 -5.709 3.296 4.968 0.000 -6.592 4.968" Properties=species:S:1:pos:R:3 pbc="T T T"
La -1.532 -4.926 6.402
La -5.032 -1.136 8.503
La -1.317 -1.654 4.534
La -3.500 3.790 6.402
La -0.774 1.967 4.534
La 2.091 -0.313 4.534
La -2.091 0.313 10.371
La 0.774 -1.967 10.371
La 3.500 -3.790 8.503
La 1.317 1.654 10.371
La 5.032 1.136 6.402
La 1.532 4.926 8.503
Pr 0.000 0.000 7.453
Zn -2.118 -2.198 7.994
Zn -2.962 0.736 6.911
Zn 0.844 -2.933 6.911
Zn -0.844 2.933 7.994
Zn 2.962 -0.736 7.994
Zn 2.118 2.198 6.911
```

Spin magnetization = 0.00 μB/f.u.
Density = 6.514 g/cm3
Volume = 29.52 Å³ per atom
Final energy = -73.3 eV/cell
Energy of formation = -0.0901 eV/atom

---

[5]
La3Pr3Zn2 | PBE-GGA | optimized geometry

Structure (extended XYZ):
```
16
Lattice="2.619 -5.986 0.000 2.619 5.986 0.000 0.000 0.000 16.046" Properties=species:S:1:pos:R:3 pbc="T T T"
La 2.619 5.619 9.796
La 2.619 5.619 14.272
La 2.619 2.529 12.034
La 2.619 -2.529 4.011
La 2.619 -5.619 1.773
La 2.619 -5.619 6.249
Pr 2.619 1.765 8.418
Pr 2.619 1.765 15.650
Pr 2.619 0.680 4.011
Pr 2.619 -0.680 12.034
Pr 2.619 -1.765 0.396
Pr 2.619 -1.765 7.627
Zn 2.619 3.189 2.251
Zn 2.619 3.189 5.772
Zn 2.619 -3.189 10.274
Zn 2.619 -3.189 13.795
```

Spin magnetization = 0.00 μB/f.u.
Density = 6.405 g/cm3
Volume = 31.44 Å³ per atom
Final energy = -64.7 eV/cell
Energy of formation = -0.0849 eV/atom

---

[6]
LaPr3Zn2 | PBE-GGA | optimized geometry

Structure (extended XYZ):
```
12
Lattice="-3.487 7.604 3.722 3.487 -7.604 3.722 3.487 7.604 -3.722" Properties=species:S:1:pos:R:3 pbc="T T T"
La 0.000 0.000 0.000
La 0.000 0.000 3.722
Pr 3.487 4.181 -1.861
Pr 3.487 0.000 1.861
Pr 0.000 3.423 1.861
Pr 3.487 4.181 1.861
Pr 0.000 7.604 1.861
Pr 0.000 3.423 5.582
Zn 4.844 2.115 0.000
Zn 1.358 5.489 0.000
Zn 2.129 2.115 3.722
Zn -1.358 5.489 3.722
```

Spin magnetization = 0.01 μB/f.u.
Polymorph energy (0 for the lowest one) = 1.49 eV per formula unit
Density = 5.827 g/cm3
Volume = 32.89 Å³ per atom
Final energy = -43.1 eV/cell
Energy of formation = 0.0428 eV/atom

---

[7]
LaPr3Zn | PBE-GGA | optimized geometry

Structure (extended XYZ):
```
10
Lattice="6.347 -1.896 0.000 6.347 1.896 0.000 -0.919 0.000 13.438" Properties=species:S:1:pos:R:3 pbc="T T T"
La 2.355 0.000 3.716
La 9.421 0.000 9.722
Pr 0.056 0.000 10.946
Pr 1.188 0.000 7.189
Pr 3.713 0.000 12.796
Pr 8.063 0.000 0.642
Pr 10.589 0.000 6.249
Pr 11.721 0.000 2.492
Zn 5.418 0.000 8.601
Zn 6.358 0.000 4.837
```

Spin magnetization = 0.00 μB/f.u.
Polymorph energy (0 for the lowest one) = 0.00 eV per formula unit
Density = 6.437 g/cm3
Volume = 32.35 Å³ per atom
Final energy = -42.2 eV/cell
Energy of formation = -0.1101 eV/atom

---

[8]
LaPrZn | PBE-GGA | optimized geometry

Structure (extended XYZ):
```
3
Lattice="-2.587 2.587 3.642 2.587 -2.587 3.642 2.587 2.587 -3.642" Properties=species:S:1:pos:R:3 pbc="T T T"
La 0.000 0.000 0.000
Pr 0.000 0.000 3.642
Zn 0.000 2.587 1.821
```

Spin magnetization = 0.00 μB/f.u.
Polymorph energy (0 for the lowest one) = 0.63 eV per formula unit
Density = 5.882 g/cm3
Volume = 32.49 Å³ per atom
Final energy = -10.9 eV/cell
Energy of formation = 0.0146 eV/atom